(1)
{"formula": "HgTe2Mo", "functional": "SCAN", "state": "single point on PBEsol structure", "cell": [[1.7129, 0.9889, 9.8703], [-1.7129, 0.9889, 9.8703], [0.0000, -1.9779, 9.8703]], "species": ["Hg", "Te", "Te", "Mo"], "fractional_positions": [[0.0000, 0.0000, 0.0000], [0.2296, 0.2296, 0.2296], [0.7704, 0.7704, 0.7704], [0.5000, 0.5000, 0.5000]], "spacegroup": "R-3m", "magmom_total_mub_per_cell": 0.0, "raw_formation_energy_ev_per_atom": -0.06, "dos_ef_per_ev_cell": 0.94}

(2)
{"formula": "HgTeMo", "functional": "SCAN", "state": "single point on PBEsol structure", "cell": [[0.0000, 3.2252, 3.2252], [3.2252, 0.0000, 3.2252], [3.2252, 3.2252, 0.0000]], "species": ["Hg", "Te", "Mo"], "fractional_positions": [[0.0000, 0.0000, 0.0000], [0.5000, 0.5000, 0.5000], [0.7500, 0.7500, 0.7500]], "spacegroup": "F-43m", "magmom_total_mub_per_cell": 0.0, "raw_formation_energy_ev_per_atom": 0.59, "dos_ef_per_ev_cell": 0.82}

(3)
{"formula": "HgTe2Mo", "functional": "SCAN", "state": "single point on PBEsol structure", "cell": [[3.5298, 0.0000, 0.0000], [0.0000, 4.8570, 0.0000], [0.0000, 0.0000, 5.0880]], "species": ["Hg", "Te", "Te", "Mo"], "fractional_positions": [[0.0000, 0.0000, 0.0000], [0.0000, 0.5000, 0.5000], [0.5000, 0.5000, 0.0000], [0.5000, 0.0000, 0.5000]], "spacegroup": "Pmmm", "magmom_total_mub_per_cell": 2.4, "raw_formation_energy_ev_per_atom": 0.77, "dos_ef_per_ev_cell": 3.02}

(4)
{"formula": "TlHgMo2", "functional": "SCAN", "state": "single point on PBEsol structure", "cell": [[-2.0571, 2.0571, 4.1751], [2.0571, -2.0571, 4.1751], [2.0571, 2.0571, -4.1751]], "species": ["Tl", "Hg", "Mo", "Mo"], "fractional_positions": [[0.0000, 0.0000, 0.0000], [0.7500, 0.2500, 0.5000], [0.2500, 0.7500, 0.5000], [0.5000, 0.5000, 0.0000]], "spacegroup": "I-4m2", "magmom_total_mub_per_cell": 0.0, "polymorph_energy_mev_per_atom": 25, "dos_ef_per_ev_cell": 2.30}

(5)
{"formula": "TlHgMo2", "functional": "SCAN", "state": "single point on PBEsol structure", "cell": [[-1.6707, 2.2991, 4.6848], [1.6707, -2.2991, 4.6848], [1.6707, 2.2991, -4.6848]], "species": ["Tl", "Hg", "Mo", "Mo"], "fractional_positions": [[0.0000, 0.0000, 0.0000], [0.5000, 0.5000, 0.0000], [0.2492, 0.7492, 0.5000], [0.7508, 0.2508, 0.5000]], "spacegroup": "Immm", "magmom_total_mub_per_cell": 0.0, "polymorph_energy_mev_per_atom": 32, "dos_ef_per_ev_cell": 2.66}

(6)
{"formula": "Tl3HgMo", "functional": "SCAN", "state": "single point on PBEsol structure", "cell": [[5.4945, 0.0000, 0.0000], [0.0000, 5.4945, 0.0000], [0.0000, 0.0000, 5.4945]], "species": ["Tl", "Tl", "Tl", "Hg", "Mo"], "fractional_positions": [[0.0000, 0.0000, 0.5000], [0.0000, 0.5000, 0.0000], [0.5000, 0.0000, 0.0000], [0.0000, 0.0000, 0.0000], [0.5000, 0.5000, 0.5000]], "spacegroup": "Pm-3m", "magmom_total_mub_per_cell": 4.8, "polymorph_energy_mev_per_atom": 610, "dos_ef_per_ev_cell": 2.98}

(7)
{"formula": "TlHgMo2", "functional": "SCAN", "state": "single point on PBEsol structure", "cell": [[4.8904, -1.4290, 0.0000], [4.8904, 1.4290, 0.0000], [-0.4131, 0.0000, 5.1396]], "species": ["Tl", "Hg", "Mo", "Mo"], "fractional_positions": [[0.0000, 0.0000, 0.0000], [0.7531, 0.7531, 0.2458], [0.2520, 0.2520, 0.7242], [0.4958, 0.4958, 0.5155]], "spacegroup": "Cm", "magmom_total_mub_per_cell": 0.0, "polymorph_energy_mev_per_atom": 0, "dos_ef_per_ev_cell": 2.55}

(8)
{"formula": "TlHgMo2", "functional": "SCAN", "state": "single point on PBEsol structure", "cell": [[2.8478, 0.0000, 0.0000], [0.0000, 2.8478, 0.0000], [0.0000, 0.0000, 8.8004]], "species": ["Tl", "Hg", "Mo", "Mo"], "fractional_positions": [[0.0000, 0.0000, 0.0000], [0.0000, 0.0000, 0.5000], [0.5000, 0.5000, 0.2555], [0.5000, 0.5000, 0.7445]], "spacegroup": "P4/mmm", "magmom_total_mub_per_cell": 0.0, "polymorph_energy_mev_per_atom": 105, "dos_ef_per_ev_cell": 3.78}